Density functional theory data (PBE-GGA) for Pm3Sm4Ho2 after structural relaxation.

## Properties
Total DFT energy (no corrections)   -4.6821 eV per atom
Energy above the lowest structure with this stoichiometry   0 meV/atom

```
data_Pm3Sm4Ho2
_chemical_formula_sum 'Pm6 Sm8 Ho4'
_cell_length_a 15.3148
_cell_length_b 5.1137
_cell_length_c 8.0718
_cell_angle_alpha 90.00
_cell_angle_beta 108.34
_cell_angle_gamma 90.00
_space_group_name_H-M_alt 'C 1 2/m 1'
_space_group_IT_number 12
loop_
_space_group_symop_operation_xyz
'x,y,z'
'-x,-y,-z'
'-x,y,-z'
'x,-y,z'
'x+1/2,y+1/2,z'
'-x+1/2,-y+1/2,-z'
'-x+1/2,y+1/2,-z'
'x+1/2,-y+1/2,z'
loop_
_atom_site_label
_atom_site_fract_x
_atom_site_fract_y
_atom_site_fract_z
Pm1 0.0000 0.0000 0.0000
Pm2 0.1106 0.0000 0.6659
Sm1 0.1662 0.5000 0.0009
Sm2 0.2222 0.0000 0.3339
Ho1 0.0556 0.5000 0.3347
```